Density functional theory data (PBE-GGA) for a geometry-optimized Mg2CdHg5Pb structure.

Computed properties:
Fermi-level density of states	6.36	states/eV/cell
formation energy from the elements	-51	meV per atom
raw total energy	-1.087	eV/atom
space group	Cmc2_1 (36)

a = 8.912 Å, b = 8.912 Å, c = 14.312 Å
α = 90.00°, β = 90.00°, γ = 156.93°
Fractional positions:
1 Mg 0.061 0.939 0.500
2 Mg 0.186 0.814 0.818
3 Mg 0.814 0.186 0.318
4 Mg 0.939 0.061 0.000
5 Cd 0.459 0.541 0.634
6 Cd 0.541 0.459 0.134
7 Hg 0.001 0.999 0.798
8 Hg 0.244 0.756 0.501
9 Hg 0.355 0.645 0.865
10 Hg 0.371 0.629 0.156
11 Hg 0.411 0.589 0.440
12 Hg 0.589 0.411 0.940
13 Hg 0.629 0.371 0.656
14 Hg 0.645 0.355 0.365
15 Hg 0.756 0.244 0.001
16 Hg 0.999 0.001 0.298
17 Pb 0.191 0.809 0.181
18 Pb 0.809 0.191 0.681

Density functional theory data (PBE-GGA) for a geometry-optimized Mg4CdHg2Pd structure.

Computed properties:
Fermi-level density of states	2.84	states/eV/cell
formation energy from the elements	-308	meV per atom
raw total energy	-1.944	eV/atom
space group	R-3m (166)

a = 8.310 Å, b = 8.310 Å, c = 8.310 Å
α = 33.76°, β = 33.76°, γ = 33.76°
Fractional positions:
1 Mg 0.117 0.117 0.117
2 Mg 0.370 0.370 0.370
3 Mg 0.630 0.630 0.630
4 Mg 0.883 0.883 0.883
5 Cd 0.500 0.500 0.500
6 Hg 0.248 0.248 0.248
7 Hg 0.752 0.752 0.752
8 Pd 0.000 0.000 0.000

Density functional theory data (PBE-GGA) for a geometry-optimized MgCd2Hg2Pd5 structure.

Computed properties:
Fermi-level density of states	4.55	states/eV/cell
formation energy from the elements	-221	meV per atom
raw total energy	-3.220	eV/atom
space group	P4/mbm (127)

a = 10.064 Å, b = 10.064 Å, c = 3.724 Å
α = 90.00°, β = 90.00°, γ = 90.00°
Fractional positions:
1 Mg 0.000 0.000 0.000
2 Mg 0.500 0.500 0.000
3 Cd 0.148 0.352 0.000
4 Cd 0.352 0.852 0.000
5 Cd 0.648 0.148 0.000
6 Cd 0.852 0.648 0.000
7 Hg 0.147 0.647 0.000
8 Hg 0.353 0.147 0.000
9 Hg 0.647 0.853 0.000
10 Hg 0.853 0.353 0.000
11 Pd 0.000 0.500 0.500
12 Pd 0.141 0.142 0.500
13 Pd 0.142 0.859 0.500
14 Pd 0.358 0.359 0.500
15 Pd 0.359 0.642 0.500
16 Pd 0.500 0.000 0.500
17 Pd 0.641 0.358 0.500
18 Pd 0.642 0.641 0.500
19 Pd 0.858 0.141 0.500
20 Pd 0.859 0.858 0.500

Density functional theory data (PBE-GGA) for a geometry-optimized MgCdHg2Pd structure.

Computed properties:
Fermi-level density of states	1.63	states/eV/cell
formation energy from the elements	106	meV per atom
raw total energy	-1.556	eV/atom
space group	P4/mmm (123)

a = 5.262 Å, b = 5.262 Å, c = 5.190 Å
α = 90.00°, β = 90.00°, γ = 90.00°
Fractional positions:
1 Mg 0.000 0.000 0.000
2 Cd 0.500 0.500 0.000
3 Hg 0.000 0.500 0.500
4 Hg 0.500 0.000 0.500
5 Pd 0.500 0.500 0.500

Density functional theory data (PBE-GGA) for a geometry-optimized Mg5CdHg2Pd2 structure.

Computed properties:
Fermi-level density of states	6.91	states/eV/cell
formation energy from the elements	-285	meV per atom
raw total energy	-2.273	eV/atom
space group	P4/mbm (127)

a = 11.000 Å, b = 11.000 Å, c = 3.454 Å
α = 90.00°, β = 90.00°, γ = 90.00°
Fractional positions:
1 Mg 0.000 0.500 0.000
2 Mg 0.093 0.196 0.000
3 Mg 0.196 0.907 0.000
4 Mg 0.304 0.407 0.000
5 Mg 0.407 0.696 0.000
6 Mg 0.500 0.000 0.000
7 Mg 0.593 0.304 0.000
8 Mg 0.696 0.593 0.000
9 Mg 0.804 0.093 0.000
10 Mg 0.907 0.804 0.000
11 Cd 0.000 0.000 0.500
12 Cd 0.500 0.500 0.500
13 Hg 0.162 0.662 0.500
14 Hg 0.338 0.162 0.500
15 Hg 0.662 0.838 0.500
16 Hg 0.838 0.338 0.500
17 Pd 0.129 0.371 0.500
18 Pd 0.371 0.871 0.500
19 Pd 0.629 0.129 0.500
20 Pd 0.871 0.629 0.500

Density functional theory data (PBE-GGA) for a geometry-optimized MgCdHgPd structure.

Computed properties:
Fermi-level density of states	1.07	states/eV/cell
formation energy from the elements	-356	meV per atom
raw total energy	-2.357	eV/atom
space group	P4mm (99)

a = 3.341 Å, b = 3.341 Å, c = 6.879 Å
α = 90.00°, β = 90.00°, γ = 90.00°
Fractional positions:
1 Mg 0.000 0.000 0.000
2 Cd 0.000 0.000 0.443
3 Hg 0.500 0.500 0.736
4 Pd 0.500 0.500 0.202